--- w ---
La4Y7Er after structural relaxation, computed with PBE-GGA.

Lattice parameters (Å, degrees): 3.6294 3.6294 35.3180 90.00 90.00 120.00
With the nearest neighbours (Å) after each atom.
Sites, in units of the cell vectors:
Y 0.0000 0.0000 0.7503  9 Y 3.55-3.63, 3 La 3.66
Y 0.3333 0.6667 0.4194  3 Er 3.53, 6 Y 3.63, 3 La 3.66
Y 0.0000 0.0000 0.0000  6 La 3.63, 6 Y 3.63
Y 0.0000 0.0000 0.2497  9 Y 3.55-3.63, 3 La 3.66
Y 0.6667 0.3333 0.8316  9 Y 3.55-3.63, 3 La 3.65
Y 0.6667 0.3333 0.5806  3 Er 3.53, 6 Y 3.63, 3 La 3.66
Y 0.3333 0.6667 0.1684  9 Y 3.55-3.63, 3 La 3.65
Er 0.0000 0.0000 0.5000  6 Y 3.53, 6 Er 3.63
La 0.6667 0.3333 0.0839  6 Y 3.63-3.65, 6 La 3.63
La 0.3333 0.6667 0.9161  6 Y 3.63-3.65, 6 La 3.63
La 0.6667 0.3333 0.3345  6 La 3.63, 6 Y 3.66
La 0.3333 0.6667 0.6655  6 La 3.63, 6 Y 3.66

=====

--- x ---
La4Y7Er after structural relaxation, computed with PBE-GGA.

Lattice parameters (Å, degrees): 5.9459 12.1154 6.7239 85.68 63.76 75.80
With the nearest neighbours (Å) after each atom.
Sites, in units of the cell vectors:
Y 0.0274 0.6265 0.3186  5 Y 3.43-3.76, 3 La 3.63-3.68
Y 0.2030 0.0858 0.5081  1 Er 3.17, 2 Y 3.19-3.50, 3 La 3.39-3.49
Y 0.3505 0.5154 0.7836  2 La 3.35-3.51, 4 Y 3.43-3.45
Y 0.9726 0.3735 0.6814  5 Y 3.43-3.76, 3 La 3.63-3.68
Y 0.6495 0.4846 0.2164  2 La 3.35-3.51, 4 Y 3.43-3.45
Y 0.7970 0.9142 0.4919  1 Er 3.17, 2 Y 3.19-3.50, 3 La 3.39-3.49
Y 0.5000 0.0000 0.0000  2 Er 2.97, 2 Y 3.19
La 0.6468 0.2238 0.4825  6 Y 3.39-3.64, 1 La 3.71
La 0.3532 0.7762 0.5175  6 Y 3.39-3.64, 1 La 3.71
La 0.3130 0.2836 0.0903  4 Y 3.35-3.68, 1 La 3.71
La 0.6870 0.7164 0.9097  4 Y 3.35-3.68, 1 La 3.71
Er 0.0000 0.0000 0.0000  4 Y 2.97-3.17

=====

Relative to the most stable structure, the computed energies are w 0; x 256, all in meV per atom.